# PPtWS2 (GGA-PBE, optimized geometry)
data_PPtWS2
_cell_length_a 4.562
_cell_length_b 4.562
_cell_length_c 4.829
_cell_angle_alpha 90.00
_cell_angle_beta 90.00
_cell_angle_gamma 90.00
_symmetry_space_group_name_H-M 'P 4/m m m'
_symmetry_Int_Tables_number 123
_symmetry_space_group_name_Hall '-P 4 2'
loop_
_atom_site_label
_atom_site_fract_x
_atom_site_fract_y
_atom_site_fract_z
P1 0.000 0.000 0.000
Pt1 0.500 0.500 0.000
W1 0.000 0.000 0.500
S1 0.000 0.500 0.500
# - Crystal system: tetragonal
# - Formation energy from raw total energies: 0.726 eV per atom
# - Relative energy among the computed polymorphs: 0.000 eV/atom